Compound: Dy2Ge4Ir3
Source: the Alexandria database
Functional: PBE
Structure: optimized geometry

Results
Symmetry: No. 69
DFT formation energy in meV per atom: -648.0

a = 5.5857 Å, b = 5.5857 Å, c = 6.7752 Å
α = 101.80°, β = 101.80°, γ = 120.26°
Sites, in units of the cell vectors:
1 Ir 0.5000 0.0000 0.0000
2 Ir 0.0000 0.5000 0.0000
3 Ir 0.0000 0.0000 0.0000
4 Dy 0.6306 0.6306 0.2611
5 Dy 0.3694 0.3694 0.7389
6 Ge 0.3268 0.9936 0.3204
7 Ge 0.6732 0.0064 0.6796
8 Ge 0.0064 0.6732 0.6796
9 Ge 0.9936 0.3268 0.3204

***

Compound: Ti2NbBr8
Source: the Alexandria database
Functional: PBE
Structure: optimized geometry

Results
Symmetry: No. 12
ΔE_f (raw) in meV per atom: -960

a = 6.2925 Å, b = 8.1254 Å, c = 8.1254 Å
α = 77.33°, β = 91.69°, γ = 91.69°
Sites, in units of the cell vectors:
1 Br 0.2684 0.3533 0.3533
2 Br 0.2160 0.8863 0.2944
3 Br 0.7370 0.1632 0.1632
4 Br 0.2160 0.2944 0.8863
5 Br 0.2630 0.8368 0.8368
6 Br 0.7840 0.1137 0.7056
7 Br 0.7316 0.6467 0.6467
8 Br 0.7840 0.7056 0.1137
9 Ti 0.3446 0.1718 0.1718
10 Ti 0.6554 0.8282 0.8282
11 Nb 0.0000 0.0000 0.0000

***

Total magnetic moment in μB/atom, matching the order above: 0.0000; 0.2671